[1]
The following is a DFT calculation (PBE) of a geometry-optimized Er2HRh6 structure.

Calculated values
Total magnetization in μB per cell: 0.00
Calculated total energy in eV/cell: -123.074

Cell and atoms, written as CIF:
```
data_Er2HRh6
_chemical_formula_sum 'Er4 H2 Rh12'
_cell_length_a 5.741
_cell_length_b 5.741
_cell_length_c 8.031
_cell_angle_alpha 90.00
_cell_angle_beta 90.00
_cell_angle_gamma 90.00
_space_group_name_H-M_alt 'I 4/m m m'
_space_group_IT_number 139
_space_group_name_Hall '-I 4 2'
loop_
_atom_site_label
_atom_site_type_symbol
_atom_site_fract_x
_atom_site_fract_y
_atom_site_fract_z
Er1 Er 0.000 0.500 0.250
H1 H 0.000 0.000 0.000
Rh1 Rh 0.000 0.000 0.253
Rh2 Rh 0.248 0.248 0.500
```

---

[2]
The following is a DFT calculation (PBE) of a geometry-optimized AcHo2Mg structure.

Calculated values
Total magnetization in μB per cell: 0.00
Formation energy in eV/f.u.: 0.40

Cell and atoms, written as CIF:
```
data_AcHo2Mg
_chemical_formula_sum 'Ac3 Ho6 Mg3'
_cell_length_a 3.6704
_cell_length_b 3.6704
_cell_length_c 34.0411
_cell_angle_alpha 90.00
_cell_angle_beta 90.00
_cell_angle_gamma 120.00
_space_group_name_H-M_alt 'R 3 m'
_space_group_IT_number 160
_space_group_name_Hall 'R 3 -2"'
loop_
_atom_site_label
_atom_site_type_symbol
_atom_site_fract_x
_atom_site_fract_y
_atom_site_fract_z
Ac1 Ac 0.0000 0.0000 0.0000
Ho1 Ho 0.0000 0.0000 0.5748
Ho2 Ho 0.0000 0.0000 0.7579
Mg1 Mg 0.0000 0.0000 0.1661
```

---

[3]
The following is a DFT calculation (PBE) of a geometry-optimized HoUAsN2 structure.

Calculated values
Total magnetization in μB per cell: 0.00
E_form (uncorrected) in meV/atom: -1358.2

Cell and atoms, written as CIF:
```
data_HoUAsN2
_chemical_formula_sum 'Ho2 U2 As2 N4'
_cell_length_a 3.811
_cell_length_b 3.811
_cell_length_c 11.831
_cell_angle_alpha 90.00
_cell_angle_beta 90.00
_cell_angle_gamma 90.00
_space_group_name_H-M_alt 'I 4 m m'
_space_group_IT_number 107
_space_group_name_Hall 'I 4 -2'
loop_
_atom_site_label
_atom_site_type_symbol
_atom_site_fract_x
_atom_site_fract_y
_atom_site_fract_z
Ho1 Ho 0.000 0.000 0.000
U1 U 0.000 0.000 0.311
As1 As 0.000 0.000 0.662
N1 N 0.000 0.500 0.393
```

---

[4]
The following is a DFT calculation (PBE) of a geometry-optimized MgSc3Ag3Te8 structure.

Calculated values
Total magnetization in μB per cell: 0.00
E_form (uncorrected) in meV/atom: -638.2

Cell and atoms, written as CIF:
```
data_MgSc3Ag3Te8
_chemical_formula_sum 'Mg2 Sc6 Ag6 Te16'
_cell_length_a 14.426
_cell_length_b 8.326
_cell_length_c 8.495
_cell_angle_alpha 90.00
_cell_angle_beta 124.60
_cell_angle_gamma 90.00
_space_group_name_H-M_alt 'C 1 2/m 1'
_space_group_IT_number 12
loop_
_space_group_symop_operation_xyz
'x,y,z'
'-x,-y,-z'
'-x,y,-z'
'x,-y,z'
'x+1/2,y+1/2,z'
'-x+1/2,-y+1/2,-z'
'-x+1/2,y+1/2,-z'
'x+1/2,-y+1/2,z'
loop_
_atom_site_label
_atom_site_type_symbol
_atom_site_fract_x
_atom_site_fract_y
_atom_site_fract_z
Mg1 Mg 0.000 0.000 0.000
Sc1 Sc 0.000 0.500 0.000
Sc2 Sc 0.250 0.250 0.000
Ag1 Ag 0.000 0.000 0.500
Ag2 Ag 0.250 0.250 0.500
Te1 Te 0.003 0.253 0.755
Te2 Te 0.246 0.500 0.239
Te3 Te 0.249 0.500 0.755
```

---

[5]
The following is a DFT calculation (PBE) of a geometry-optimized YPb2 structure.

Calculated values
Total magnetization in μB per cell: 0.00
Formation energy in eV/f.u.: -0.71

Cell and atoms, written as CIF:
```
data_YPb2
_chemical_formula_sum 'Y2 Pb4'
_cell_length_a 3.669
_cell_length_b 4.462
_cell_length_c 10.822
_cell_angle_alpha 90.00
_cell_angle_beta 90.00
_cell_angle_gamma 90.00
_space_group_name_H-M_alt 'I m m m'
_space_group_IT_number 71
_space_group_name_Hall '-I 2 2'
loop_
_atom_site_label
_atom_site_type_symbol
_atom_site_fract_x
_atom_site_fract_y
_atom_site_fract_z
Y1 Y 0.000 0.000 0.000
Pb1 Pb 0.000 0.000 0.341
```

---

[6]
The following is a DFT calculation (PBE) of a geometry-optimized PmGa4Pd2Pt structure.

Calculated values
Total magnetization in μB per cell: 0.00
Formation energy in eV/f.u.: -5.31

Cell and atoms, written as CIF:
```
data_PmGa4Pd2Pt
_chemical_formula_sum 'Pm3 Ga12 Pd6 Pt3'
_cell_length_a 4.3180
_cell_length_b 4.3180
_cell_length_c 26.5663
_cell_angle_alpha 90.00
_cell_angle_beta 90.00
_cell_angle_gamma 120.00
_space_group_name_H-M_alt 'R -3 m'
_space_group_IT_number 166
_space_group_name_Hall '-R 3 2"'
loop_
_atom_site_label
_atom_site_type_symbol
_atom_site_fract_x
_atom_site_fract_y
_atom_site_fract_z
Pm1 Pm 0.0000 0.0000 0.0000
Ga1 Ga 0.0000 0.0000 0.1316
Ga2 Ga 0.0000 0.0000 0.3990
Pd1 Pd 0.0000 0.0000 0.2405
Pt1 Pt 0.0000 0.0000 0.5000
```